The following is a DFT calculation (PBE) of a geometry-optimized TbYCdSi structure.

The calculation puts the electronic total energy at -4.76 eV/atom. Its uncorrected formation energy is -401 meV per atom.

The structure belongs to space group F-43m (No. 216); the cell edges are 7.234, 7.234 and 7.234 Å and the angles 90.00°, 90.00° and 90.00°. The distinct sites, in fractional coordinates, are Tb at (0.000, 0.000, 0.000), Y at (0.000, 0.000, 0.500), Cd at (0.250, 0.250, 0.250) and Si at (0.250, 0.250, 0.750).